P | ## LiVF5 (PBE with a Hubbard U)

Data for a relaxed LiVF5 crystal.

Calculated values
The total moment comes out at 4.000 μB per cell.

Lattice parameters (Å, degrees): 5.2450 9.7191 7.6063 90.00 105.84 90.00
Last column: nearest neighbours and their distance in Å.
Space group P2_1/c (No. 14)
Symmetry-distinct sites (fractional):
1 Li 0.0184 0.0181 0.3157  5 F 1.93-2.05
2 V 0.4323 0.2491 0.1413  6 F 1.81-1.97
3 F 0.1680 0.1142 0.5487  1 V 1.91, 2 Li 1.97-2.05
4 F 0.1700 0.1257 0.1366  1 V 1.82
5 F 0.3100 0.6232 0.8424  1 V 1.81, 1 Li 2.02
6 F 0.3117 0.6158 0.2722  1 V 1.85, 1 Li 1.93
7 F 0.4242 0.2002 0.8911  2 V 1.95-1.97

=====

Q | ## LiVF5 (PBE with a Hubbard U)

Data for a relaxed LiVF5 crystal.

Calculated values
The total moment comes out at 4.000 μB per cell.

Lattice parameters (Å, degrees): 5.1386 6.4109 11.4502 90.00 90.00 90.00
Last column: nearest neighbours and their distance in Å.
Space group P2_12_12_1 (No. 19)
Symmetry-distinct sites (fractional):
1 Li 0.0916 0.0889 0.2106  5 F 1.97-2.14
2 V 0.1580 0.4026 0.5799  5 F 1.81-1.97
3 F 0.0095 0.6546 0.9885  2 V 1.97-2.04
4 F 0.0669 0.5513 0.4524  1 V 1.81
5 F 0.1303 0.9302 0.8284  1 V 1.82, 1 Li 1.97
6 F 0.1804 0.7676 0.1896  1 V 1.86
7 F 0.1840 0.3726 0.1541  1 V 1.86, 1 Li 1.99

=====

R | ## LiVF5 (PBE with a Hubbard U)

Data for a relaxed LiVF5 crystal.

Calculated values
The total moment comes out at 4.000 μB per cell.

Lattice parameters (Å, degrees): 8.0970 6.7496 6.5549 90.00 110.91 90.00
Last column: nearest neighbours and their distance in Å.
Space group C2/c (No. 15)
Symmetry-distinct sites (fractional):
1 Li 0.0000 0.0000 0.0000  4 F 1.96-1.97
2 V 0.0000 0.4349 0.2500  5 F 1.85-1.96
3 F 0.0000 0.1602 0.2500  1 V 1.85, 2 Li 1.96
4 F 0.0070 0.3401 0.9427  2 V 1.96-2.13
5 F 0.2446 0.4509 0.3536  1 V 1.85, 1 Li 1.97

=====

Calculated relative energies: P 0.0; Q 1.1; R 6.5, given in kJ/mol of atoms

=====

P | ## LiVF5 (PBE with a Hubbard U)

Data for a relaxed LiVF5 crystal.

Calculated values
The total moment comes out at 4.000 μB per cell.

Lattice parameters (Å, degrees): 7.6114 7.4462 6.6739 90.00 90.00 90.00
Last column: nearest neighbours and their distance in Å.
Space group Pnma (No. 62)
Symmetry-distinct sites (fractional):
1 Li 0.1222 0.2500 0.1992  4 F 1.92-1.95
2 V 0.1224 0.7500 0.2574  6 F 1.82-1.96
3 F 0.0727 0.7500 0.9822  1 V 1.87, 1 Li 1.92
4 F 0.1233 0.5060 0.2632  1 V 1.82, 1 Li 1.95
5 F 0.1287 0.2500 0.6797  2 V 1.96
6 F 0.1712 0.7500 0.5338  1 V 1.88, 1 Li 1.92

=====

Q | ## LiVF5 (PBE with a Hubbard U)

Data for a relaxed LiVF5 crystal.

Calculated values
The total moment comes out at 2.000 μB per cell.

Lattice parameters (Å, degrees): 3.8871 6.4545 7.4794 90.00 90.00 90.00
Last column: nearest neighbours and their distance in Å.
Space group Immm (No. 71)
Symmetry-distinct sites (fractional):
1 Li 0.0000 0.0000 0.0000  2 F 1.87
2 V 0.0000 0.0000 0.5000  6 F 1.82-1.94
3 F 0.0000 0.0000 0.2494  1 Li 1.87, 1 V 1.87
4 F 0.0000 0.2824 0.5000  1 V 1.82
5 F 0.0000 0.5000 0.0000  2 V 1.94

=====

Calculated relative energies: P 0.0; Q 2.5, given in kJ/mol of atoms

=====

P | ## LiVF5 (PBE with a Hubbard U)

Data for a relaxed LiVF5 crystal.

Calculated values
The total moment comes out at 4.000 μB per cell.

Lattice parameters (Å, degrees): 5.8087 8.6442 9.3490 90.00 128.03 90.00
Last column: nearest neighbours and their distance in Å.
Space group P2_1/c (No. 14)
Symmetry-distinct sites (fractional):
1 Li 0.1890 0.0232 0.3280  5 F 1.94-2.14
2 V 0.4364 0.1378 0.0765  6 F 1.81-2.00
3 F 0.0818 0.1343 0.8527  1 V 1.82, 1 Li 1.98
4 F 0.1976 0.6046 0.2160  1 V 1.81
5 F 0.2764 0.1494 0.1959  1 V 1.84, 1 Li 1.94
6 F 0.3963 0.5922 0.5531  2 V 2.00
7 F 0.4699 0.1452 0.5612  1 V 1.90, 1 Li 2.04

=====

Q | ## LiVF5 (PBE with a Hubbard U)

Data for a relaxed LiVF5 crystal.

Calculated values
The total moment comes out at 4.000 μB per cell.

Lattice parameters (Å, degrees): 9.4309 5.3184 8.3198 90.00 90.00 90.00
Last column: nearest neighbours and their distance in Å.
Space group Pnma (No. 62)
Symmetry-distinct sites (fractional):
1 Li 0.0233 0.2500 0.1882  5 F 1.98-2.19
2 V 0.2071 0.2500 0.6148  5 F 1.76-1.85
3 F 0.1135 0.0119 0.7362  1 V 1.84, 1 Li 2.00
4 F 0.1187 0.2500 0.4278  1 V 1.76
5 F 0.1479 0.5167 0.1014  1 V 1.85, 1 Li 1.98

=====

Calculated relative energies: P 0.0; Q 5.7, given in kJ/mol of atoms